A plane-wave DFT calculation with PBE was carried out for crystalline Nd2DyTl at its relaxed geometry.

Structure (CIF):
```
data_Nd2DyTl
_symmetry_space_group_name_H-M 'P 1 21/m 1'
_symmetry_Int_Tables_number 11
_cell_length_a 6.774
_cell_length_b 5.551
_cell_length_c 6.855
_cell_angle_alpha 90.00
_cell_angle_beta 99.20
_cell_angle_gamma 90.00
loop_
_symmetry_equiv_pos_as_xyz
'x,y,z'
'-x,-y,-z'
'-x,y+1/2,-z'
'x,-y+1/2,z'
loop_
_atom_site_label
_atom_site_fract_x
_atom_site_fract_y
_atom_site_fract_z
Nd1 0.130 0.250 0.220
Nd2 0.341 0.750 0.574
Dy1 0.421 0.750 0.093
Tl1 0.118 0.250 0.734
```

Properties
The density of states at the Fermi level is 4.090 states/eV/f.u. Its formation energy is -0.1846 eV per atom. The value obtained for the relative energy among the computed polymorphs is 10 meV per atom. The calculated density is 8.55 g/cm³.

***

A plane-wave DFT calculation with PBE was carried out for crystalline Nd2Dy3Tl4 at its relaxed geometry.

Structure (CIF):
```
data_Nd2Dy3Tl4
_symmetry_space_group_name_H-M 'P -3 m 1'
_symmetry_Int_Tables_number 164
_symmetry_space_group_name_Hall '-P 3 2"'
_cell_length_a 5.3273
_cell_length_b 5.3273
_cell_length_c 10.7370
_cell_angle_alpha 90.00
_cell_angle_beta 90.00
_cell_angle_gamma 120.00
loop_
_atom_site_label
_atom_site_fract_x
_atom_site_fract_y
_atom_site_fract_z
Nd1 0.3333 0.6667 0.2777
Dy1 0.0000 0.0000 0.5000
Dy2 0.3333 0.6667 0.9258
Tl1 0.0000 0.0000 0.1502
Tl2 0.3333 0.6667 0.6023
```

Properties
The density of states at the Fermi level is 7.802 states/eV/f.u. Its formation energy is -0.2986 eV per atom. The value obtained for the relative energy among the computed polymorphs is 0 meV per atom. The calculated density is 10.03 g/cm³.

***

A plane-wave DFT calculation with PBE was carried out for crystalline NdDy5Tl2 at its relaxed geometry.

Structure (CIF):
```
data_NdDy5Tl2
_symmetry_space_group_name_H-M 'I m m m'
_symmetry_Int_Tables_number 71
_symmetry_space_group_name_Hall '-I 2 2'
_cell_length_a 3.660
_cell_length_b 10.486
_cell_length_c 12.727
_cell_angle_alpha 90.00
_cell_angle_beta 90.00
_cell_angle_gamma 90.00
loop_
_atom_site_label
_atom_site_fract_x
_atom_site_fract_y
_atom_site_fract_z
Nd1 0.000 0.000 0.000
Dy1 0.000 0.226 0.365
Dy2 0.000 0.500 0.000
Tl1 0.000 0.500 0.260
```

Properties
The density of states at the Fermi level is 11.340 states/eV/f.u. Its formation energy is -0.1255 eV per atom. The calculated density is 9.28 g/cm³.

***

A plane-wave DFT calculation with PBE was carried out for crystalline Nd2Dy4Tl at its relaxed geometry.

Structure (CIF):
```
data_Nd2Dy4Tl
_symmetry_space_group_name_H-M 'P n m a'
_symmetry_Int_Tables_number 62
_cell_length_a 20.416
_cell_length_b 3.562
_cell_length_c 12.252
_cell_angle_alpha 90.00
_cell_angle_beta 90.00
_cell_angle_gamma 90.00
loop_
_symmetry_equiv_pos_as_xyz
'x,y,z'
'-x,-y,-z'
'-x+1/2,-y,z+1/2'
'x+1/2,y,-z+1/2'
'x+1/2,-y+1/2,-z+1/2'
'-x+1/2,y+1/2,z+1/2'
'-x,y+1/2,-z'
'x,-y+1/2,z'
loop_
_atom_site_label
_atom_site_fract_x
_atom_site_fract_y
_atom_site_fract_z
Nd1 0.052 0.250 0.098
Nd2 0.141 0.250 0.532
Dy1 0.002 0.250 0.377
Dy2 0.096 0.250 0.816
Dy3 0.196 0.750 0.004
Dy4 0.239 0.750 0.731
Tl1 0.133 0.750 0.292
```

Properties
The density of states at the Fermi level is 8.400 states/eV/f.u. Its formation energy is -0.0512 eV per atom. The value obtained for the relative energy among the computed polymorphs is 0 meV per atom. The calculated density is 8.52 g/cm³.